# 1
LiCd4Ag2: relaxed, PBE.

As for the formation energy from the elements: -0.0625 eV per atom. The calculation puts the mass density at 7.59 g/cm3. As for the crystal system: tetragonal. The density of states at the Fermi level comes out at 2.33 states/eV/f.u. The calculation puts the distance to the lowest polymorph of the same formula at 17.3 meV per atom.

The structure belongs to space group I4/mmm (No. 139); the cell edges are 6.6629, 6.6629 and 6.6238 Å and the angles 90.00°, 90.00° and 90.00°. The distinct sites, in fractional coordinates, are Li at (0.0000, 0.0000, 0.0000), Cd at (0.2500, 0.2500, 0.2500) and Ag at (0.0000, 0.5000, 0.0000).



# 2
La4Nd2Dy2Y: relaxed, PBE.

As for the formation energy from the elements: 0.0217 eV per atom. The calculation puts the mass density at 6.66 g/cm3. As for the crystal system: monoclinic. The density of states at the Fermi level comes out at 15.54 states/eV/f.u.

The structure belongs to space group C2/m (No. 12); the cell edges are 15.5692, 5.1916 and 8.1849 Å and the angles 90.00°, 108.64° and 90.00°. The distinct sites, in fractional coordinates, are La at (0.0542, 0.0000, 0.3343), La at (0.2233, 0.5000, 0.3337), Nd at (0.1669, 0.0000, 0.0001), Dy at (0.1112, 0.5000, 0.6694) and Y at (0.0000, 0.5000, 0.0000).



# 3
OsAuCl2: relaxed, PBE.

The calculation puts the mass density at 11.02 g/cm3. As for the crystal system: orthorhombic. For the formation energy (no corrections), the calculation gives 117.1 kJ per mole of atoms. The density of states at the Fermi level comes out at 3.26 states/eV/f.u. The calculation puts the distance to the lowest polymorph of the same formula at 991.3 meV per atom.

The structure belongs to space group Cmmm (No. 65); the cell edges are 6.0131, 7.7194 and 2.9752 Å and the angles 90.00°, 90.00° and 90.00°. The distinct sites, in fractional coordinates, are Os at (0.0000, 0.0000, 0.0000), Au at (0.0000, 0.5000, 0.0000) and Cl at (0.2500, 0.2500, 0.5000).



# 4
TlGaTc3: relaxed, PBE.

As for the formation energy from the elements: 2.4459 eV per atom. The calculation puts the mass density at 7.35 g/cm3. As for the crystal system: cubic. The density of states at the Fermi level comes out at 3.82 states/eV/f.u. The calculation puts the distance to the lowest polymorph of the same formula at 1084.2 meV per atom.

The structure belongs to space group Pm-3m (No. 221); the cell edges are 5.0449, 5.0449 and 5.0449 Å and the angles 90.00°, 90.00° and 90.00°. The distinct sites, in fractional coordinates, are Tl at (0.0000, 0.0000, 0.0000), Ga at (0.5000, 0.5000, 0.5000) and Tc at (0.0000, 0.0000, 0.5000).



# 5
Zn2BrOF: relaxed, PBE.

The calculation puts the mass density at 5.40 g/cm3. As for the crystal system: tetragonal. For the formation energy (no corrections), the calculation gives -50.1 kJ per mole of atoms. The density of states at the Fermi level comes out at 1.23 states/eV/f.u.

The structure belongs to space group P4/mmm (No. 123); the cell edges are 4.1202, 4.1202 and 4.4541 Å and the angles 90.00°, 90.00° and 90.00°. The distinct sites, in fractional coordinates, are Zn at (0.0000, 0.5000, 0.0000), Br at (0.0000, 0.0000, 0.5000), O at (0.5000, 0.5000, 0.0000) and F at (0.5000, 0.5000, 0.5000).



# 6
YCd2Si: relaxed, PBE.

The calculation puts the mass density at 6.31 g/cm3. As for the crystal system: tetragonal. For the formation energy (no corrections), the calculation gives -8.5 kJ per mole of atoms. The density of states at the Fermi level comes out at 2.88 states/eV/f.u.

The structure belongs to space group P4mm (No. 99); the cell edges are 3.5933, 3.5933 and 6.9637 Å and the angles 90.00°, 90.00° and 90.00°. The distinct sites, in fractional coordinates, are Y at (0.0000, 0.0000, 0.0000), Cd at (0.0000, 0.0000, 0.5350), Cd at (0.5000, 0.5000, 0.3015) and Si at (0.5000, 0.5000, 0.7505).



# 7
K3HoSc2Se6: relaxed, PBE.

The calculation puts the mass density at 4.26 g/cm3. As for the crystal system: monoclinic. For the formation energy (no corrections), the calculation gives -160.6 kJ per mole of atoms. The density of states at the Fermi level comes out at 0.00 states/eV/f.u.

The structure belongs to space group C2/m (No. 12); the cell edges are 7.0577, 12.2246 and 7.9925 Å and the angles 90.00°, 107.14° and 90.00°. The distinct sites, in fractional coordinates, are K at (0.0000, 0.0000, 0.0000), K at (0.0000, 0.3354, 0.0000), Ho at (0.0000, 0.5000, 0.5000), Sc at (0.0000, 0.1669, 0.5000), Se at (0.2219, 0.0000, 0.6980) and Se at (0.2383, 0.3279, 0.6985).



# 8
Na5Ge: relaxed, PBE.

As for the formation energy from the elements: 0.0032 eV per atom. The calculation puts the mass density at 1.75 g/cm3. As for the crystal system: monoclinic. The density of states at the Fermi level comes out at 2.24 states/eV/f.u. The calculation puts the distance to the lowest polymorph of the same formula at 0.0 meV per atom.

The structure belongs to space group C2/m (No. 12); the cell edges are 10.7967, 5.3492 and 6.4651 Å and the angles 90.00°, 107.55° and 90.00°. The distinct sites, in fractional coordinates, are Na at (0.0000, 0.0000, 0.0000), Na at (0.1075, 0.5000, 0.7502), Na at (0.2076, 0.5000, 0.3243) and Ge at (0.0000, 0.0000, 0.5000).